TiAg2B | PBE | relaxed

energy of formation: 0.643 eV per atom
E_tot: -4.426 eV/atom
DOS at the Fermi energy: 2.9 states/eV/f.u.

Cell lengths 3.639, 3.639, 9.881 Å; angles 79.39, 79.39, 90.00 degrees
Positions (direct):
1 B 0.500 0.500 0.000
2 B 0.250 0.750 0.500
3 Ag 0.617 0.125 0.250
4 Ag 0.133 0.625 0.250
5 Ag 0.375 0.383 0.750
6 Ag 0.875 0.867 0.750
7 Ti 0.000 0.000 0.000
8 Ti 0.750 0.250 0.500